(1)
Material: AcErIrI
Method: DFT, PBE-GGA
State: relaxed

The value obtained for the density is 9.220 Mg/m³. For the total energy, the calculation gives -69.11 eV per cell. The value obtained for the formation energy from raw total energies is -0.99 eV per atom.

The space group is R3m (No. 160, hexagonal axes) and the conventional cell measures 4.2394, 4.2394 and 24.7645 Å, with angles of 90.00, 90.00 and 120.00 degrees. Symmetry generates all atoms from Ac at (0.0000, 0.0000, 0.0000), Er at (0.0000, 0.0000, 0.2133), Ir at (0.0000, 0.0000, 0.6001) and I at (0.0000, 0.0000, 0.7828).



(2)
Material: Mn6CrCo2
Method: DFT, PBE-GGA
State: relaxed

As for the energy of formation: 0.067 eV per atom. The value obtained for the density is 8.125 Mg/m³. For the total energy, the calculation gives -156.49 eV per cell.

The space group is Pnnm (No. 58) and the conventional cell measures 7.5684, 7.5879 and 3.5551 Å, with angles of 90.00, 90.00 and 90.00 degrees. Symmetry generates all atoms from Mn at (0.1494, 0.1625, 0.0000), Mn at (0.1654, 0.4960, 0.0000), Mn at (0.1842, 0.8174, 0.0000), Cr at (0.0000, 0.0000, 0.5000) and Co at (0.0099, 0.6643, 0.5000).



(3)
Material: MgTc3Ni
Method: DFT, PBE-GGA
State: relaxed

As for the energy of formation: 1.287 eV per atom. The value obtained for the density is 7.036 Mg/m³. For the total energy, the calculation gives -32.04 eV per cell. The energy above the most stable polymorph in this dataset comes out at 0.00 eV per formula unit.

The space group is Pm-3m (No. 221) and the conventional cell measures 4.4644, 4.4644 and 4.4644 Å, with angles of 90.00, 90.00 and 90.00 degrees. Symmetry generates all atoms from Mg at (0.0000, 0.0000, 0.0000), Tc at (0.0000, 0.5000, 0.5000) and Ni at (0.5000, 0.5000, 0.5000).



(4)
Material: Ti2ZnCdO6
Method: DFT, PBE-GGA
State: relaxed

The value obtained for the density is 4.378 Mg/m³. For the total energy, the calculation gives -283.02 eV per cell. The value obtained for the formation energy from raw total energies is -2.30 eV per atom.

The space group is C2/c (No. 15) and the conventional cell measures 9.5825, 10.5500 and 6.0961 Å, with angles of 90.00, 114.54 and 90.00 degrees. Symmetry generates all atoms from Ti at (0.1533, 0.0820, 0.1914), Zn at (0.0000, 0.3010, 0.7500), Cd at (0.0000, 0.3980, 0.2500), O at (0.1039, 0.2424, 0.0817), O at (0.1157, 0.0468, 0.4626) and O at (0.1346, 0.4247, 0.6705).



(5)
Material: La7TbHo12
Method: DFT, PBE-GGA
State: relaxed

As for the energy of formation: 0.221 eV per atom. The value obtained for the density is 7.548 Mg/m³. For the total energy, the calculation gives -268.92 eV per cell. The energy above the most stable polymorph in this dataset comes out at 0.00 eV per formula unit.

The space group is R-3 (No. 148, hexagonal axes) and the conventional cell measures 12.0474, 12.0474 and 16.3310 Å, with angles of 90.00, 90.00 and 120.00 degrees. Symmetry generates all atoms from La at (0.0000, 0.0000, 0.0000), La at (0.0520, 0.8707, 0.2855), Tb at (0.0000, 0.0000, 0.5000), Ho at (0.0267, 0.5781, 0.2220) and Ho at (0.0517, 0.4657, 0.5834).



(6)
Material: RbAg2Cl2
Method: DFT, PBE-GGA
State: relaxed

The value obtained for the density is 4.067 Mg/m³. For the total energy, the calculation gives -26.10 eV per cell. The value obtained for the formation energy from raw total energies is -0.54 eV per atom. The energy above the most stable polymorph in this dataset comes out at 0.73 eV per formula unit.

The space group is P4/mbm (No. 127) and the conventional cell measures 9.1499, 9.1499 and 3.6295 Å, with angles of 90.00, 90.00 and 90.00 degrees. Symmetry generates all atoms from Rb at (0.0000, 0.0000, 0.0000), Ag at (0.1034, 0.3966, 0.5000) and Cl at (0.2467, 0.7467, 0.0000).



(7)
Material: VIn
Method: DFT, PBE-GGA
State: relaxed

As for the energy of formation: 0.732 eV per atom. The value obtained for the density is 6.911 Mg/m³. For the total energy, the calculation gives -41.57 eV per cell.

The space group is P4_2/mnm (No. 136) and the conventional cell measures 5.4011, 5.4011 and 5.4610 Å, with angles of 90.00, 90.00 and 90.00 degrees. Symmetry generates all atoms from V at (0.1636, 0.1636, 0.0000) and In at (0.1836, 0.1836, 0.5000).



(8)
Material: HoTm2Cu2
Method: DFT, PBE-GGA
State: relaxed

As for the energy of formation: -0.118 eV per atom. The value obtained for the density is 8.846 Mg/m³. For the total energy, the calculation gives -44.60 eV per cell. The energy above the most stable polymorph in this dataset comes out at 0.38 eV per formula unit.

The space group is P2_1/m (No. 11) and the conventional cell measures 4.9722, 4.5323 and 10.5676 Å, with angles of 90.00, 96.80 and 90.00 degrees. Symmetry generates all atoms from Ho at (0.1885, 0.2500, 0.2384), Tm at (0.2490, 0.7500, 0.4963), Tm at (0.3451, 0.2500, 0.8879), Cu at (0.1256, 0.7500, 0.0106) and Cu at (0.2871, 0.2500, 0.6366).



- What is the formula in the first record?
  AcErIrI



- density of number 1 (AcErIrI)?
  9.220 Mg/m³